[1]
4
Lattice="3.475 0.004 0.000 -0.004 3.475 0.000 0.000 0.000 6.361" Properties=species:S:1:pos:R:3 comment="Tl2CrTc (PBE-GGA, optimized geometry)" magmom_total_mub_per_cell=4.6 relative_energy_mev_per_atom=335 dos_ef_per_ev_atom=0.6900 sg="P4/mmm, No. 123" pbc="T T T"
Cr 1.736 1.740 1.590
Tc 1.736 1.740 4.771
Tl 0.000 0.000 6.323
Tl 0.000 0.000 3.219

[2]
4
Lattice="5.006 0.000 0.000 2.503 4.336 0.000 2.503 1.445 4.088" Properties=species:S:1:pos:R:3 comment="PmErAlCo (PBE-GGA, optimized geometry)" dft_energy_ev_per_atom=-5.199 magmom_total_mub_per_cell=1.1 dos_ef_per_ev_atom=0.6960 sg="F-43m, No. 216" pbc="T T T"
Pm 5.006 2.890 2.044
Co 2.503 1.445 1.022
Al 7.510 4.336 3.066
Er 0.000 0.000 0.000

[3]
4
Lattice="2.291 -1.348 4.788 -0.551 3.311 4.327 -3.153 -1.506 4.216" Properties=species:S:1:pos:R:3 comment="Ba2BeF (PBE-GGA, optimized geometry)" formation_energy_uncorrected_ev_per_atom=-0.66 magmom_total_mub_per_cell=1.6 relative_energy_mev_per_atom=275 dos_ef_per_ev_atom=1.0967 sg="Fm-3m, No. 225" pbc="T T T"
Be 0.000 0.000 0.000
Ba -0.353 0.114 3.333
Ba -1.060 0.343 9.999
F -0.707 0.228 6.666

[4]
6
Lattice="4.906 0.000 0.000 2.453 4.249 0.000 2.453 1.416 8.066" Properties=species:S:1:pos:R:3 comment="AcSnF (PBE-GGA, optimized geometry)" formation_energy_uncorrected_ev_per_atom=-1.93 magmom_total_mub_per_cell=0.0 relative_energy_mev_per_atom=231 dos_ef_per_ev_atom=0.2076 sg="R-3m, No. 166" pbc="T T T"
Ac 4.906 2.832 1.808
Ac 4.906 2.832 6.258
Sn 7.359 4.249 3.771
Sn 2.453 1.416 4.295
F 7.359 4.249 7.451
F 2.453 1.416 0.616

[5]
12
Lattice="-4.546 1.748 3.642 -3.230 -4.866 -1.696 6.242 -1.547 3.456" Properties=species:S:1:pos:R:3 comment="K2BaHoF8 (PBE-GGA, optimized geometry)" formation_energy_uncorrected_ev_per_atom=-3.28 magmom_total_mub_per_cell=1.1 dos_ef_per_ev_atom=1.1077 sg="I-4m2, No. 119" pbc="T T T"
K -1.096 -0.679 4.036
K 0.000 0.000 0.000
Ba -3.888 -1.559 0.973
Ho -0.438 -3.986 1.366
F 1.785 -3.986 1.954
F -0.173 -3.234 3.522
F -1.277 -1.853 1.539
F -5.205 -2.973 2.842
F 1.629 -0.518 4.469
F -2.668 -3.948 0.809
F 3.587 -1.271 2.900
F -3.814 -0.877 3.572

[6]
14
Lattice="-2.536 2.823 -2.813 -4.630 -1.701 1.744 -2.094 3.359 4.205" Properties=species:S:1:pos:R:3 comment="SiBPN4 (PBE-GGA, optimized geometry)" formation_energy_uncorrected_ev_per_atom=-0.35 magmom_total_mub_per_cell=0.0 relative_energy_mev_per_atom=475 dos_ef_per_ev_atom=0.0000 sg="P1, No. 1" pbc="T T T"
P -4.803 5.169 2.322
P -5.679 3.641 0.817
Si -5.373 0.608 1.856
Si -6.568 2.790 3.318
B -3.427 1.969 1.011
B -2.304 0.039 0.187
N -3.280 1.018 -0.453
N -2.221 2.855 0.920
N -3.536 0.781 2.068
N -7.100 3.651 1.703
N -0.965 0.390 0.616
N -5.745 0.103 0.135
N -4.840 2.390 1.303
N -5.109 2.173 4.331

[7]
5
Lattice="3.751 0.000 0.000 0.000 3.751 0.000 0.000 0.000 3.751" Properties=species:S:1:pos:R:3 comment="MgRuO3 (PBE-GGA, optimized geometry)" formation_energy_uncorrected_ev_per_atom=-0.23 magmom_total_mub_per_cell=3.1 dos_ef_per_ev_atom=1.1500 sg="Pm-3m, No. 221" pbc="T T T"
Ru 1.875 1.875 1.875
Mg 0.000 0.000 0.000
O 0.000 1.875 0.000
O 0.000 0.000 1.875
O 1.875 0.000 0.000

[8]
16
Lattice="-3.086 7.252 -4.061 -6.355 4.857 3.825 1.893 8.031 3.224" Properties=species:S:1:pos:R:3 comment="Ce3Y5Sb8 (PBE-GGA, optimized geometry)" formation_energy_uncorrected_ev_per_atom=-1.12 magmom_total_mub_per_cell=2.3 dos_ef_per_ev_atom=1.3720 sg="R-3m, No. 166" pbc="T T T"
Ce -0.596 7.641 -0.419
Ce 0.947 4.015 1.612
Ce -2.231 6.444 3.524
Y -1.543 3.626 -2.030
Y -4.721 6.054 -0.118
Y 0.000 0.000 0.000
Y -3.177 2.428 1.912
Y -3.774 10.070 1.494
Sb -0.934 9.077 2.370
Sb -4.090 11.489 4.269
Sb -2.467 12.678 0.353
Sb -5.631 15.128 2.260
Sb -6.614 11.062 0.618
Sb -3.458 8.650 -1.281
Sb -5.081 7.461 2.635
Sb -1.917 5.011 0.727

[9]
12
Lattice="5.448 0.000 0.000 0.000 6.722 0.032 0.000 -2.419 7.752" Properties=species:S:1:pos:R:3 comment="CsLi2BrF2 (PBE-GGA, optimized geometry)" formation_energy_uncorrected_ev_per_atom=-2.40 magmom_total_mub_per_cell=0.0 dos_ef_per_ev_atom=0.0000 sg="P2_1/m, No. 11" pbc="T T T"
Cs 4.086 0.623 5.074
Cs 1.362 3.680 2.710
Li 2.736 0.478 1.588
Li 5.435 0.478 1.588
Li 0.012 3.826 6.196
Li 2.712 3.826 6.196
Br 1.362 -0.959 7.313
Br 4.086 5.262 0.470
F 1.362 -0.047 2.647
F 1.362 2.828 5.516
F 4.086 4.350 5.136
F 4.086 1.475 2.268

[10]
12
Lattice="3.935 0.000 0.000 0.000 6.369 0.000 -1.968 0.000 7.610" Properties=species:S:1:pos:R:3 comment="AcNi4Ge (PBE-GGA, optimized geometry)" magmom_total_mub_per_cell=0.0 relative_energy_mev_per_atom=0 dos_ef_per_ev_atom=0.6799 sg="Cmcm, No. 63" pbc="T T T"
Ac 0.000 1.592 1.551
Ac 1.968 4.777 6.059
Ni 1.968 3.184 0.000
Ni 1.968 0.000 0.000
Ni 1.968 5.980 2.696
Ni 0.000 0.389 4.914
Ni 0.000 2.795 4.914
Ni 1.968 3.574 2.696
Ni 0.000 4.777 1.264
Ni 1.968 1.592 6.346
Ge 0.000 4.777 3.568
Ge 1.968 1.592 4.042

[11]
16
Lattice="-2.540 5.078 1.536 -4.410 -0.261 -6.432 -8.132 -5.824 5.811" Properties=species:S:1:pos:R:3 comment="BaLa3Tl4 (PBE-GGA, optimized geometry)" dft_energy_ev_per_atom=-3.653 magmom_total_mub_per_cell=0.0 dos_ef_per_ev_atom=0.8939 sg="Pmma, No. 51" pbc="T T T"
Tl -4.649 2.340 -4.160
Tl -8.714 -0.573 -1.255
Tl -2.301 2.478 -0.737
Tl -6.367 -0.434 2.169
Tl -9.680 -4.176 -0.460
Tl -7.762 3.030 -2.067
Tl -5.402 3.170 1.375
Tl -7.320 -4.037 2.982
Ba -2.205 -0.130 -3.216
Ba -6.271 -3.042 -0.311
La 0.000 0.000 0.000
La -4.066 -2.912 2.906
La -7.538 -1.492 5.228
La -3.134 0.746 2.119
La -9.708 -1.690 1.991
La -5.373 0.684 -1.077

[12]
6
Lattice="3.549 0.000 0.000 0.000 3.549 0.000 0.000 0.000 13.432" Properties=species:S:1:pos:R:3 comment="Y3MgSc2 (PBE-GGA, optimized geometry)" dft_energy_ev_per_atom=-5.602 magmom_total_mub_per_cell=0.0 dos_ef_per_ev_atom=1.8721 sg="P4/mmm, No. 123" pbc="T T T"
Y 0.000 0.000 0.000
Y 0.000 0.000 8.923
Y 0.000 0.000 4.510
Mg 1.775 1.775 6.716
Sc 1.775 1.775 11.170
Sc 1.775 1.775 2.263

[13]
4
Lattice="-0.637 4.640 1.369 -4.663 0.561 -1.323 1.720 -3.574 2.842" Properties=species:S:1:pos:R:3 comment="MoSe2Br (PBE-GGA, optimized geometry)" formation_energy_uncorrected_ev_per_atom=0.62 magmom_total_mub_per_cell=0.0 relative_energy_mev_per_atom=900 dos_ef_per_ev_atom=0.7362 sg="I4/mmm, No. 139" pbc="T T T"
Br -2.796 -0.206 0.771
Mo -0.784 1.833 2.117
Se 0.000 0.000 0.000
Se -2.650 2.601 0.023

[14]
4
Lattice="-2.122 -3.231 1.122 3.736 -2.568 -0.331 2.237 2.654 4.654" Properties=species:S:1:pos:R:3 comment="AcSmCuRh (PBE-GGA, optimized geometry)" magmom_total_mub_per_cell=0.0 relative_energy_mev_per_atom=0 dos_ef_per_ev_atom=0.7145 sg="Amm2, No. 38" pbc="T T T"
Ac 0.337 0.298 1.496
Sm 1.672 -2.135 4.233
Cu 0.973 -2.753 1.130
Rh 0.984 0.869 4.362

[15]
6
Lattice="3.382 0.000 0.000 0.000 5.768 0.000 -1.687 0.000 8.611" Properties=species:S:1:pos:R:3 comment="SrYB (PBE-GGA, optimized geometry)" magmom_total_mub_per_cell=0.0 relative_energy_mev_per_atom=49 dos_ef_per_ev_atom=0.3783 sg="Pm, No. 6" pbc="T T T"
Y 1.124 5.213 5.751
Y 2.817 5.214 1.233
Sr 1.151 2.329 3.440
Sr -0.560 2.330 7.806
B 1.125 5.213 3.157
B -0.566 5.213 3.801

[16]
4
Lattice="3.215 0.000 0.000 0.000 3.216 0.000 0.000 0.000 6.395" Properties=species:S:1:pos:R:3 comment="ZnCrAu2 (PBE-GGA, optimized geometry)" dft_energy_ev_per_atom=-4.373 magmom_total_mub_per_cell=3.8 dos_ef_per_ev_atom=0.4382 sg="P4/mmm, No. 123" pbc="T T T"
Au 0.000 0.000 6.363
Au 0.000 0.000 3.230
Cr 1.607 1.608 1.599
Zn 1.607 1.608 4.797

[17]
11
Lattice="-5.207 1.539 -4.617 1.454 -5.961 -3.627 -2.327 -1.040 7.779" Properties=species:S:1:pos:R:3 comment="AcCd2Cl8 (PBE-GGA, optimized geometry)" formation_energy_uncorrected_ev_per_atom=-1.32 magmom_total_mub_per_cell=0.0 dos_ef_per_ev_atom=0.9382 sg="I422, No. 97" pbc="T T T"
Ac -1.876 -2.211 -4.122
Cd -4.705 -0.856 -0.480
Cd -1.375 -4.606 0.015
Cl -4.294 -0.857 -2.987
Cl -1.322 -4.058 3.540
Cl -5.082 -0.894 2.032
Cl -2.685 -0.919 4.764
Cl -1.461 -5.114 -3.515
Cl -4.217 -3.616 -5.351
Cl -1.538 -2.354 -1.150
Cl -3.719 -4.033 0.808

[18]
8
Lattice="7.756 0.000 0.000 0.000 7.756 0.000 3.878 3.878 2.453" Properties=species:S:1:pos:R:3 comment="VAg2P (PBE-GGA, optimized geometry)" dft_energy_ev_per_atom=-4.662 magmom_total_mub_per_cell=4.9 dos_ef_per_ev_atom=0.9615 sg="I-42d, No. 122" pbc="T T T"
P 3.878 3.878 0.000
P 3.878 7.756 1.226
Ag 5.343 1.939 0.613
Ag 2.414 5.817 0.613
Ag 5.817 6.292 1.839
Ag 9.696 9.221 1.839
V 0.000 0.000 0.000
V 7.756 3.878 1.226

[19]
12
Lattice="7.338 -0.001 0.000 -3.668 6.356 0.000 -1.224 -2.120 7.692" Properties=species:S:1:pos:R:3 comment="Rb3La2HoS6 (PBE-GGA, optimized geometry)" formation_energy_uncorrected_ev_per_atom=-1.88 magmom_total_mub_per_cell=0.0 dos_ef_per_ev_atom=0.0000 sg="C2/m, No. 12" pbc="T T T"
Rb -2.439 4.232 3.846
Rb 4.884 0.003 3.846
Rb 1.223 2.117 3.846
La 0.001 4.236 0.000
La 3.669 2.118 0.000
Ho 0.000 0.000 0.000
S 3.621 2.198 6.192
S 2.494 4.319 1.500
S -1.176 2.036 1.500
S 0.094 4.235 6.192
S -0.049 -0.084 6.192
S 2.351 -0.001 1.500

[20]
11
Lattice="4.466 0.975 0.000 1.512 7.171 0.000 0.756 3.586 6.802" Properties=species:S:1:pos:R:3 comment="Li8Tl2Ge (PBE-GGA, optimized geometry)" magmom_total_mub_per_cell=0.0 relative_energy_mev_per_atom=49 dos_ef_per_ev_atom=0.3742 sg="C2/m, No. 12" pbc="T T T"
Li 4.158 2.244 1.381
Li 4.914 5.830 5.421
Li 1.875 2.986 0.000
Li 3.745 7.659 2.612
Li 2.989 4.073 4.190
Li 4.103 5.160 0.000
Li 1.820 5.902 1.381
Li 2.576 9.488 5.421
Tl 0.756 3.586 2.584
Tl 1.512 7.171 4.218
Ge 2.233 0.487 0.000

[21]
4
Lattice="-2.551 1.677 1.904 1.063 -1.585 2.821 3.192 3.800 0.930" Properties=species:S:1:pos:R:3 comment="ZrNiP2 (PBE-GGA, optimized geometry)" dft_energy_ev_per_atom=-7.040 magmom_total_mub_per_cell=0.0 dos_ef_per_ev_atom=0.4760 sg="Pmmm, No. 47" pbc="T T T"
Ni 1.915 2.500 3.765
P 0.816 -1.165 2.120
P 2.373 0.686 2.576
Zr -0.212 1.392 1.889

[22]
4
Lattice="-1.936 -3.511 -2.536 -1.448 -3.967 2.161 -4.635 -0.932 0.391" Properties=species:S:1:pos:R:3 comment="LiYMgBe (PBE-GGA, optimized geometry)" dft_energy_ev_per_atom=-3.393 magmom_total_mub_per_cell=0.0 dos_ef_per_ev_atom=0.5100 sg="F-43m, No. 216" pbc="T T T"
Y -6.014 -6.307 0.012
Be 0.000 0.000 0.000
Mg -2.005 -2.102 0.004
Li -4.009 -4.205 0.008

[23]
6
Lattice="-1.952 2.414 -0.540 -1.975 -1.935 -1.511 -4.499 -1.806 8.191" Properties=species:S:1:pos:R:3 comment="Ta3NbFe2 (PBE-GGA, optimized geometry)" dft_energy_ev_per_atom=-10.498 magmom_total_mub_per_cell=1.5 dos_ef_per_ev_atom=0.7827 sg="P4/mmm, No. 123" pbc="T T T"
Ta 0.000 0.000 0.000
Ta -3.076 -1.235 5.600
Ta -1.423 -0.571 2.591
Nb -4.213 -0.664 3.070
Fe -5.762 -1.285 5.890
Fe -2.664 -0.042 0.250

[24]
20
Lattice="6.789 0.000 -0.705 0.000 7.917 0.000 -1.884 0.000 8.618" Properties=species:S:1:pos:R:3 comment="Ce2PaOs2 (PBE-GGA, optimized geometry)" dft_energy_ev_per_atom=-9.016 magmom_total_mub_per_cell=0.0 dos_ef_per_ev_atom=1.7349 sg="P2_1/c, No. 14" pbc="T T T"
Ce 3.383 1.639 0.256
Ce -0.011 2.319 0.608
Ce 4.916 5.597 7.304
Ce 1.521 6.278 7.657
Ce 4.449 4.732 1.491
Ce 1.055 7.143 1.844
Ce 3.850 0.774 6.069
Ce 0.455 3.184 6.421
Pa 2.346 2.367 3.416
Pa 2.559 5.549 4.496
Pa 5.740 1.591 3.064
Pa -0.835 6.326 4.849
Os 5.233 7.644 0.737
Os 1.839 4.231 1.090
Os 3.066 3.686 6.823
Os -0.329 0.273 7.176
Os 4.621 3.804 4.494
Os 1.227 0.155 4.847
Os 3.678 7.762 3.066
Os 0.284 4.113 3.418